[1]
Compound: K2VIr
Source: Alexandria via LeMat-Bulk
Functional: PBE
Structure: relaxed

* energy of formation from the pure elements: 149 kJ/mol of atoms
* polymorph energy (0 for the lowest one): 669 meV per atom
* DOS at the Fermi energy: 34.21 states/eV per cell
* calculated volume: 427.7 Å³/cell

The structure in CIF format:
```
data_K2VIr
_cell_length_a 7.534
_cell_length_b 7.534
_cell_length_c 7.534
_cell_angle_alpha 90.00
_cell_angle_beta 90.00
_cell_angle_gamma 90.00
_space_group_name_H-M_alt 'F m -3 m'
_space_group_IT_number 225
_space_group_name_Hall '-F 4 2 3'
loop_
_atom_site_label
_atom_site_type_symbol
_atom_site_fract_x
_atom_site_fract_y
_atom_site_fract_z
K1 K 0.250 0.250 0.250
V1 V 0.000 0.000 0.000
Ir1 Ir 0.000 0.000 0.500
```

[2]
Compound: KV2Ir
Source: Alexandria via LeMat-Bulk
Functional: PBE
Structure: relaxed

* energy of formation from the pure elements: 107 kJ/mol of atoms
* polymorph energy (0 for the lowest one): 98 meV per atom
* DOS at the Fermi energy: 22.56 states/eV per cell
* calculated volume: 473.3 Å³/cell

The structure in CIF format:
```
data_KV2Ir
_cell_length_a 5.420
_cell_length_b 5.420
_cell_length_c 16.113
_cell_angle_alpha 90.00
_cell_angle_beta 90.00
_cell_angle_gamma 90.00
_space_group_name_H-M_alt 'I 41/a m d'
_space_group_IT_number 141
loop_
_space_group_symop_operation_xyz
'x,y,z'
'-x,-y,-z'
'-y+1/4,x+3/4,z+1/4'
'y+1/4,-x+3/4,-z+1/4'
'-x+1/2,-y,z+1/2'
'x+1/2,y,-z+1/2'
'y+1/4,-x+1/4,z+3/4'
'-y+1/4,x+1/4,-z+3/4'
'x,-y,-z'
'-x,y,z'
'-y+1/4,-x+1/4,-z+3/4'
'y+1/4,x+1/4,z+3/4'
'-x+1/2,y,-z+1/2'
'x+1/2,-y,z+1/2'
'y+1/4,x+3/4,-z+1/4'
'-y+1/4,-x+3/4,z+1/4'
'x+1/2,y+1/2,z+1/2'
'-x+1/2,-y+1/2,-z+1/2'
'-y+3/4,x+1/4,z+3/4'
'y+3/4,-x+1/4,-z+3/4'
'-x,-y+1/2,z'
'x,y+1/2,-z'
'y+3/4,-x+3/4,z+1/4'
'-y+3/4,x+3/4,-z+1/4'
'x+1/2,-y+1/2,-z+1/2'
'-x+1/2,y+1/2,z+1/2'
'-y+3/4,-x+3/4,-z+1/4'
'y+3/4,x+3/4,z+1/4'
'-x,y+1/2,-z'
'x,-y+1/2,z'
'y+3/4,x+1/4,-z+3/4'
'-y+3/4,-x+1/4,z+3/4'
loop_
_atom_site_label
_atom_site_type_symbol
_atom_site_fract_x
_atom_site_fract_y
_atom_site_fract_z
K1 K 0.000 0.250 0.375
V1 V 0.000 0.000 0.000
Ir1 Ir 0.000 0.250 0.875
```

[3]
Compound: KVIr2
Source: Alexandria via LeMat-Bulk
Functional: PBE
Structure: relaxed

* energy of formation from the pure elements: 71 kJ/mol of atoms
* polymorph energy (0 for the lowest one): 0 meV per atom
* DOS at the Fermi energy: 6.98 states/eV per cell
* calculated volume: 320.1 Å³/cell

The structure in CIF format:
```
data_KVIr2
_cell_length_a 7.315
_cell_length_b 7.315
_cell_length_c 5.982
_cell_angle_alpha 90.00
_cell_angle_beta 90.00
_cell_angle_gamma 90.00
_space_group_name_H-M_alt 'I -4 2 d'
_space_group_IT_number 122
_space_group_name_Hall 'I -4 2bw'
loop_
_atom_site_label
_atom_site_type_symbol
_atom_site_fract_x
_atom_site_fract_y
_atom_site_fract_z
K1 K 0.000 0.000 0.000
V1 V 0.000 0.000 0.500
Ir1 Ir 0.180 0.750 0.625
```